1.
# HfTi2B

An optimized crystal structure of HfTi2B (GGA-PBEsol, Alexandria).

The structure in POSCAR format:
```
HfTi2B
1.0
4.876 0.000 0.000
2.438 5.013 0.000
2.438 0.000 5.013
Hf Ti B
2 4 2
Cartesian
6.095 2.506 2.506
0.000 0.000 0.000
7.923 2.847 4.672
4.266 4.672 2.166
4.266 0.341 2.847
3.047 2.166 0.341
3.657 2.506 2.506
2.438 0.000 0.000
```

## Properties
E, eV/cell: -67.328

=====

2.
# HfTlB2

An optimized crystal structure of HfTlB2 (GGA-PBEsol, Alexandria).

The structure in POSCAR format:
```
HfTlB2
1.0
-1.517 -0.590 -3.987
-2.539 -3.370 -0.861
-4.182 0.610 -0.825
B Hf Tl
2 1 1
Cartesian
-2.059 -0.837 -1.418
-6.178 -2.512 -4.255
0.000 0.000 0.000
-4.119 -1.675 -2.836
```

## Properties
E, eV/cell: -22.904

=====

3.
# Hf9BW4

An optimized crystal structure of Hf9BW4 (GGA-PBEsol, Alexandria).

The structure in POSCAR format:
```
Hf9BW4
1.0
-4.691 3.428 6.145
3.762 -5.031 5.679
3.278 7.611 -1.744
Hf W B
18 8 2
Cartesian
1.120 -1.253 4.463
1.231 7.261 5.617
2.367 1.644 3.799
0.013 3.593 3.174
3.799 -0.271 5.960
-2.234 2.739 7.755
3.115 5.234 0.107
-1.449 6.279 4.120
-0.017 4.365 6.281
-0.765 0.774 9.973
1.057 -0.557 7.586
2.337 2.415 6.905
-0.412 1.408 5.369
2.763 4.601 4.711
0.516 3.746 9.292
4.584 3.269 2.325
1.834 2.262 0.788
1.293 6.565 2.494
2.320 5.424 7.473
-2.345 1.714 3.072
0.000 0.000 0.000
-0.186 8.775 3.691
-2.369 3.706 4.853
2.536 -2.767 6.389
4.719 2.303 5.227
0.030 0.584 2.606
0.083 1.754 7.813
2.267 4.254 2.267
```

## Properties
E, eV/cell: -318.170

=====

4.
# Hg3BI

An optimized crystal structure of Hg3BI (GGA-PBEsol, Alexandria).

The structure in POSCAR format:
```
Hg3BI
1.0
-2.007 -5.794 0.613
4.780 -2.008 -3.331
3.332 -0.610 5.148
Hg B I
3 1 1
Cartesian
1.666 -0.305 2.574
2.390 -1.004 -1.666
-1.004 -2.897 0.306
3.052 -4.206 1.215
0.000 0.000 0.000
```

## Properties
Formation energy without anion corrections, eV per formula unit: 7.93

=====

5.
# HgBSbI2

An optimized crystal structure of HgBSbI2 (GGA-PBEsol, Alexandria).

The structure in POSCAR format:
```
HgBSbI2
1.0
5.494 0.000 0.000
0.000 5.755 0.000
0.000 0.000 5.755
B Hg I Sb
1 1 2 1
Cartesian
2.747 2.878 2.878
0.000 0.000 0.000
0.000 2.878 0.000
0.000 0.000 2.878
2.747 0.000 0.000
```

## Properties
Formation energy without anion corrections, eV per formula unit: 7.03

=====

6.
# InHg2B

An optimized crystal structure of InHg2B (GGA-PBEsol, Alexandria).

The structure in POSCAR format:
```
InHg2B
1.0
4.841 0.000 0.000
2.421 4.192 0.000
2.421 1.397 3.953
B In Hg
1 1 2
Cartesian
0.000 0.000 0.000
4.841 2.795 1.976
7.262 4.192 2.965
2.421 1.397 0.988
```

## Properties
E, eV/cell: -7.301

=====

7.
# InHgB2Se

An optimized crystal structure of InHgB2Se (GGA-PBEsol, Alexandria).

The structure in POSCAR format:
```
InHgB2Se
1.0
-2.615 -3.279 -0.189
1.490 -0.970 -3.803
4.257 -3.544 2.572
Se In Hg B
1 1 1 2
Cartesian
2.129 -1.772 1.286
1.566 -3.896 -0.710
0.000 0.000 0.000
0.745 -0.485 -1.902
-1.308 -1.639 -0.094
```

## Properties
Formation energy without anion corrections, eV per formula unit: 6.95

=====

8.
# Ta2InHgB

An optimized crystal structure of Ta2InHgB (GGA-PBEsol, Alexandria).

The structure in POSCAR format:
```
Ta2InHgB
1.0
-1.930 2.974 1.642
-2.594 -3.335 2.993
3.680 0.388 3.622
Ta Hg In B
2 1 1 1
Cartesian
1.840 0.194 1.811
-1.297 -1.668 1.496
0.000 0.000 0.000
-0.422 0.014 4.128
-0.965 1.487 0.821
```

## Properties
E, eV/cell: -26.442